Below is a relaxed structure of CrNi2GePb, with properties calculated at the PBE level.

The structure in CIF format:
```
data_CrNi2GePb
_cell_length_a 4.489
_cell_length_b 4.489
_cell_length_c 4.627
_cell_angle_alpha 90.00
_cell_angle_beta 90.00
_cell_angle_gamma 90.00
_space_group_name_H-M_alt 'P 1'
_space_group_IT_number 1
loop_
_space_group_symop_operation_xyz
'x,y,z'
loop_
_atom_site_label
_atom_site_fract_x
_atom_site_fract_y
_atom_site_fract_z
Cr1 0.000 0.000 0.000
Ni1 0.000 0.500 0.000
Ni2 0.500 0.000 0.000
Ge1 0.000 0.000 0.500
Pb1 0.500 0.500 0.500
```

Output
energy of formation: 0.747 eV per atom
symmetry: No. 123